(1)
DFT (PBE) results for a geometry-optimized ZrBeGa structure.

Summary:
Magnetic moment   0.00 μB/atom
Space group   P-6m2
Polymorph energy (0 for the lowest one)   0.0110 eV/atom
Energy relative to the elements   -0.4763 eV per atom
Final energy   -16.73 eV per cell

POSCAR file:
```
ZrBeGa
1.0
-2.879 -1.109 1.484
0.061 -3.232 -2.297
1.827 -0.034 3.520
Ga Zr Be
1 1 1
direct
0.167 0.333 0.667 Ga
0.667 0.667 0.333 Zr
0.166 0.000 0.000 Be
```

=====

(2)
DFT (PBE) results for a geometry-optimized Zr2BeGa2 structure.

Summary:
Magnetic moment   0.00 μB/atom
Space group   P4/mbm
Polymorph energy (0 for the lowest one)   0.5092 eV/atom
Energy relative to the elements   -0.0116 eV per atom
Final energy   -53.87 eV per cell

POSCAR file:
```
Zr2BeGa2
1.0
6.889 0.000 0.000
0.000 6.889 0.000
0.000 0.000 4.082
Be Zr Ga
2 4 4
direct
0.000 0.000 0.000 Be
0.500 0.500 0.000 Be
0.664 0.164 0.000 Zr
0.164 0.336 0.000 Zr
0.336 0.836 0.000 Zr
0.836 0.664 0.000 Zr
0.643 0.857 0.500 Ga
0.857 0.357 0.500 Ga
0.143 0.643 0.500 Ga
0.357 0.143 0.500 Ga
```

=====

(3)
DFT (PBE) results for a geometry-optimized ZrBeGa3 structure.

Summary:
Magnetic moment   0.00 μB/atom
Space group   Pm-3m
Polymorph energy (0 for the lowest one)   0.0000 eV/atom
Energy relative to the elements   0.1970 eV per atom
Final energy   -20.37 eV per cell

POSCAR file:
```
ZrBeGa3
1.0
-0.212 -0.259 4.404
-0.610 -4.365 -0.286
4.369 -0.622 0.173
Ga Be Zr
3 1 1
direct
0.000 0.500 0.000 Ga
0.500 0.000 0.000 Ga
0.000 0.000 0.500 Ga
0.000 0.000 0.000 Be
0.500 0.500 0.500 Zr
```

=====

(4)
DFT (PBE) results for a geometry-optimized ZrBeGa structure.

Summary:
Magnetic moment   0.00 μB/atom
Space group   P6_3/mmc
Polymorph energy (0 for the lowest one)   0.0000 eV/atom
Energy relative to the elements   -0.4874 eV per atom
Final energy   -33.53 eV per cell

POSCAR file:
```
ZrBeGa
1.0
-0.648 -2.222 -3.316
0.172 -1.781 3.626
-6.459 0.823 0.710
Be Ga Zr
2 2 2
direct
0.333 0.167 0.250 Be
0.667 0.833 0.750 Be
0.333 0.167 0.750 Ga
0.667 0.833 0.250 Ga
0.000 0.500 0.000 Zr
0.000 0.500 0.500 Zr
```

=====

(5)
DFT (PBE) results for a geometry-optimized ZrBe2Ga structure.

Summary:
Magnetic moment   0.00 μB/atom
Space group   I4_1/amd
Energy relative to the elements   0.1569 eV per atom
Final energy   -36.80 eV per cell

POSCAR file:
```
ZrBe2Ga
1.0
4.050 0.000 0.000
0.000 4.050 0.000
2.025 2.025 7.625
Ga Be Zr
2 4 2
direct
0.500 0.500 0.000 Ga
0.250 0.750 0.500 Ga
0.374 0.125 0.250 Be
0.376 0.625 0.250 Be
0.875 0.624 0.750 Be
0.375 0.626 0.750 Be
0.750 0.250 0.500 Zr
0.000 0.000 0.000 Zr
```

=====

(6)
DFT (PBE) results for a geometry-optimized Zr3BeGa2 structure.

Summary:
Magnetic moment   0.00 μB/atom
Space group   Pnma
Energy relative to the elements   -0.4644 eV per atom
Final energy   -152.84 eV per cell

POSCAR file:
```
Zr3BeGa2
1.0
-3.471 1.922 0.268
-3.889 -7.774 5.393
3.311 4.703 9.168
Zr Ga Be
12 8 4
direct
0.750 0.875 0.456 Zr
0.750 0.188 0.291 Zr
0.250 0.688 0.209 Zr
0.250 0.375 0.044 Zr
0.750 0.312 0.791 Zr
0.750 0.580 0.633 Zr
0.250 0.125 0.544 Zr
0.750 0.625 0.956 Zr
0.250 0.812 0.709 Zr
0.750 0.920 0.133 Zr
0.250 0.080 0.867 Zr
0.250 0.420 0.367 Zr
0.750 0.176 0.024 Ga
0.250 0.986 0.310 Ga
0.250 0.676 0.476 Ga
0.750 0.324 0.524 Ga
0.250 0.514 0.810 Ga
0.750 0.014 0.690 Ga
0.750 0.486 0.190 Ga
0.250 0.824 0.976 Ga
0.750 0.884 0.872 Be
0.750 0.616 0.372 Be
0.250 0.116 0.128 Be
0.250 0.384 0.628 Be
```

=====

(7)
DFT (PBE) results for a geometry-optimized Zr2Be16Ga structure.

Summary:
Magnetic moment   0.00 μB/atom
Space group   R3m
Energy relative to the elements   -0.2238 eV per atom
Final energy   -84.00 eV per cell

POSCAR file:
```
Zr2Be16Ga
1.0
5.709 0.032 0.679
0.606 5.676 0.679
0.035 0.032 5.749
Be Zr Ga
16 2 1
direct
0.652 0.652 0.167 Be
0.342 0.840 0.342 Be
0.706 0.001 0.295 Be
0.706 0.295 0.001 Be
0.004 0.004 0.491 Be
0.652 0.167 0.652 Be
0.103 0.103 0.103 Be
0.491 0.004 0.004 Be
0.295 0.706 0.001 Be
0.001 0.295 0.706 Be
0.004 0.491 0.004 Be
0.840 0.342 0.342 Be
0.167 0.652 0.652 Be
0.342 0.342 0.840 Be
0.295 0.001 0.706 Be
0.001 0.706 0.295 Be
0.338 0.338 0.338 Zr
0.658 0.658 0.658 Zr
0.903 0.903 0.903 Ga
```

=====

(8)
DFT (PBE) results for a geometry-optimized ZrBeGa structure.

Summary:
Magnetic moment   0.00 μB/atom
Space group   I4mm
Polymorph energy (0 for the lowest one)   0.3307 eV/atom
Energy relative to the elements   -0.1567 eV per atom
Final energy   -15.77 eV per cell

POSCAR file:
```
ZrBeGa
1.0
3.016 0.000 0.000
0.000 3.016 0.000
-1.508 -1.508 5.173
Ga Zr Be
1 1 1
direct
0.310 0.310 0.619 Ga
0.607 0.607 0.214 Zr
0.933 0.933 0.867 Be
```